[1]
Mn4Co5 | SCAN | PBEsol geometry

Results
* calculated density: 9.486 Mg/m³
* DOS at the Fermi energy: 10.229 states/eV/f.u.
* energy: -157.37 eV per cell
* spin magnetization: 0.17 μB/f.u.
* DFT formation energy: 23.24 kJ per mole of atoms
* space-group type: I4/mmm

Unit cell a=5.4080 b=5.4080 c=5.4080 alpha=95.74 beta=95.74 gamma=143.12
Sites, in units of the cell vectors:
Mn 0.0000 0.3350 0.3350
Mn 0.0000 0.6650 0.6650
Mn 0.3350 0.0000 0.3350
Mn 0.6650 0.0000 0.6650
Co 0.0000 0.0000 0.0000
Co 0.3324 0.3324 0.6648
Co 0.3324 0.6676 0.0000
Co 0.6676 0.3324 0.0000
Co 0.6676 0.6676 0.3352



[2]
K2Ta4O11 | SCAN | PBEsol geometry

Results
* calculated density: 7.725 Mg/m³
* DOS at the Fermi energy: 0.000 states/eV/f.u.
* energy: -804.60 eV per cell
* spin magnetization: 0.00 μB/f.u.
* space-group type: R-3c
* uncorrected formation energy: -50.77 eV per formula unit

Unit cell a=12.8637 b=12.8637 c=12.8637 alpha=28.22 beta=28.22 gamma=28.22
Sites, in units of the cell vectors:
K 0.1740 0.1740 0.1740
K 0.3260 0.3260 0.3260
K 0.6740 0.6740 0.6740
K 0.8260 0.8260 0.8260
Ta 0.0000 0.0000 0.0000
Ta 0.1171 0.7500 0.3829
Ta 0.2500 0.6171 0.8829
Ta 0.3829 0.1171 0.7500
Ta 0.5000 0.5000 0.5000
Ta 0.6171 0.8829 0.2500
Ta 0.7500 0.3829 0.1171
Ta 0.8829 0.2500 0.6171
O 0.0032 0.4968 0.2500
O 0.0697 0.7598 0.2653
O 0.0938 0.0938 0.0938
O 0.2347 0.7402 0.4303
O 0.2402 0.7347 0.9303
O 0.2500 0.0032 0.4968
O 0.2598 0.5697 0.7653
O 0.2653 0.0697 0.7598
O 0.4062 0.4062 0.4062
O 0.4303 0.2347 0.7402
O 0.4968 0.2500 0.0032
O 0.5032 0.7500 0.9968
O 0.5697 0.7653 0.2598
O 0.5938 0.5938 0.5938
O 0.7347 0.9303 0.2402
O 0.7402 0.4303 0.2347
O 0.7500 0.9968 0.5032
O 0.7598 0.2653 0.0697
O 0.7653 0.2598 0.5697
O 0.9062 0.9062 0.9062
O 0.9303 0.2402 0.7347
O 0.9968 0.5032 0.7500



[3]
BaGaHg3 | SCAN | PBEsol geometry

Results
* calculated density: 9.405 Mg/m³
* DOS at the Fermi energy: 2.936 states/eV/f.u.
* energy: -262.08 eV per cell
* spin magnetization: 0.00 μB/f.u.
* DFT formation energy: -32.48 kJ per mole of atoms
* space-group type: Pm-3m

Unit cell a=5.2270 b=5.2270 c=5.2270 alpha=90.00 beta=90.00 gamma=90.00
Sites, in units of the cell vectors:
Ba 0.0000 0.0000 0.0000
Ga 0.5000 0.5000 0.5000
Hg 0.0000 0.5000 0.5000
Hg 0.5000 0.0000 0.5000
Hg 0.5000 0.5000 0.0000



[4]
RbMg2BeSn | SCAN | PBEsol geometry

Results
* calculated density: 1.408 Mg/m³
* DOS at the Fermi energy: 1.116 states/eV/f.u.
* energy: -62.36 eV per cell
* spin magnetization: 2.92 μB/f.u.
* DFT formation energy: 165.93 kJ per mole of atoms
* space-group type: P4/mmm

Unit cell a=6.8096 b=6.8096 c=6.6607 alpha=90.00 beta=90.00 gamma=90.00
Sites, in units of the cell vectors:
Rb 0.0000 0.0000 0.0000
Mg 0.0000 0.5000 0.0000
Mg 0.5000 0.0000 0.0000
Be 0.5000 0.5000 0.5000
Sn 0.0000 0.0000 0.5000